# 1
Below is Tb12PrEr6 after structural relaxation, with properties calculated at the PBE-GGA level.

polymorph energy (0 for the lowest one): 0.280 eV per atom
calculated total energy: -4.185 eV per atom
energy of formation from the pure elements: 432 meV/atom

Cell: 9.2995 9.2995 9.2995 Å, 107.84 107.84 107.84°
Closest atoms and distances in Å follow each position.
Fractional positions:
Tb1 0.0000 0.3894 0.6106  4 Er 3.27-3.40, 5 Tb 3.32-3.65
Tb2 0.0000 0.6106 0.3894  4 Er 3.27-3.40, 5 Tb 3.32-3.65
Tb3 0.1279 0.1279 0.3447  1 Er 3.05, 2 Tb 3.26
Tb4 0.1279 0.3447 0.1279  1 Er 3.05, 2 Tb 3.26
Tb5 0.3447 0.1279 0.1279  1 Er 3.05, 2 Tb 3.26
Tb6 0.3894 0.0000 0.6106  4 Er 3.27-3.40, 5 Tb 3.32-3.65
Tb7 0.3894 0.6106 0.0000  4 Er 3.27-3.40, 5 Tb 3.32-3.65
Tb8 0.6106 0.0000 0.3894  4 Er 3.27-3.40, 5 Tb 3.32-3.65
Tb9 0.6106 0.3894 0.0000  4 Er 3.27-3.40, 5 Tb 3.32-3.65
Tb10 0.6553 0.8721 0.8721  1 Er 3.05, 2 Tb 3.26
Tb11 0.8721 0.6553 0.8721  1 Er 3.05, 2 Tb 3.26
Tb12 0.8721 0.8721 0.6553  1 Er 3.05, 2 Tb 3.26
Pr1 0.5000 0.5000 0.5000  6 Tb 3.55
Er1 0.1868 0.1868 0.7612  5 Tb 3.05-3.40
Er2 0.1868 0.7612 0.1868  5 Tb 3.05-3.40
Er3 0.2388 0.8132 0.8132  5 Tb 3.05-3.40
Er4 0.7612 0.1868 0.1868  5 Tb 3.05-3.40
Er5 0.8132 0.2388 0.8132  5 Tb 3.05-3.40
Er6 0.8132 0.8132 0.2388  5 Tb 3.05-3.40

=====

# 2
Below is CuCl3 after structural relaxation, with properties calculated at the PBE-GGA level.

calculated total energy: -2.231 eV per atom

Cell: 2.9880 2.9880 10.4455 Å, 90.00 90.00 90.00°
Closest atoms and distances in Å follow each position.
Fractional positions:
Cu1 0.0000 0.0000 0.0000  8 Cl 2.62
Cl1 0.0000 0.0000 0.5000  4 Cl 2.99
Cl2 0.5000 0.5000 0.1487  4 Cu 2.62
Cl3 0.5000 0.5000 0.8513  4 Cu 2.62

=====

# 3
Below is Er4ZrIn3 after structural relaxation, with properties calculated at the PBE-GGA level.

calculated total energy: -4.706 eV per atom
energy of formation from the pure elements: -329 meV/atom

Cell: 3.5144 3.5144 16.9425 Å, 90.00 90.00 90.00°
Closest atoms and distances in Å follow each position.
Fractional positions:
Er1 0.0000 0.0000 0.1233  8 In 3.24-3.25, 4 Er 3.51
Er2 0.0000 0.0000 0.3708  4 In 3.27, 4 Zr 3.31, 4 Er 3.51
Er3 0.0000 0.0000 0.6292  4 In 3.27, 4 Zr 3.31, 4 Er 3.51
Er4 0.0000 0.0000 0.8767  8 In 3.24-3.25, 4 Er 3.51
Zr1 0.5000 0.5000 0.5000  8 Er 3.31, 4 Zr 3.51
In1 0.5000 0.5000 0.0000  8 Er 3.25, 4 In 3.51
In2 0.5000 0.5000 0.2458  8 Er 3.24-3.27, 4 In 3.51
In3 0.5000 0.5000 0.7542  8 Er 3.24-3.27, 4 In 3.51

=====

# 4
Below is Rb3YRe after structural relaxation, with properties calculated at the PBE-GGA level.

polymorph energy (0 for the lowest one): 0.000 eV per atom
calculated total energy: -2.360 eV per atom
energy of formation from the pure elements: 2003 meV/atom

Cell: 6.3019 6.3019 6.3019 Å, 90.00 90.00 90.00°
Closest atoms and distances in Å follow each position.
Fractional positions:
Rb1 0.0000 0.0000 0.5000  2 Re 3.15
Rb2 0.0000 0.5000 0.0000  2 Re 3.15
Rb3 0.5000 0.0000 0.0000  2 Re 3.15
Y1 0.5000 0.5000 0.5000  12 Rb 4.46
Re1 0.0000 0.0000 0.0000  6 Rb 3.15

=====

# 5
Below is Co2TcBr after structural relaxation, with properties calculated at the PBE-GGA level.

polymorph energy (0 for the lowest one): 0.294 eV per atom
calculated total energy: -5.756 eV per atom

Cell: 4.6831 4.6831 4.4425 Å, 91.40 91.40 36.20°
Closest atoms and distances in Å follow each position.
Fractional positions:
Co1 0.2253 0.2253 0.2073  2 Co 2.40, 1 Br 2.42, 3 Tc 2.63-2.64
Co2 0.7747 0.7747 0.7927  2 Co 2.40, 1 Br 2.42, 3 Tc 2.63-2.64
Tc1 0.5000 0.5000 0.0000  6 Co 2.63-2.64, 4 Br 2.66, 2 Tc 2.91
Br1 0.0000 0.0000 0.5000  2 Co 2.42, 4 Tc 2.66

=====

# 6
Below is Y2FeN after structural relaxation, with properties calculated at the PBE-GGA level.

polymorph energy (0 for the lowest one): 0.000 eV per atom
calculated total energy: -7.674 eV per atom

Cell: 8.4477 8.4477 8.4477 Å, 22.93 22.93 22.93°
Closest atoms and distances in Å follow each position.
Fractional positions:
Y1 0.1110 0.1110 0.1110  3 N 2.38
Y2 0.8890 0.8890 0.8890  3 N 2.38
Fe1 0.0000 0.0000 0.0000  2 Y 2.74
N1 0.5000 0.5000 0.5000  6 Y 2.38